P.
A plane-wave DFT calculation with GGA-PBE was carried out for an optimized crystal structure of RbMgTl6. Values from VASP.

Output
The value obtained for the calculated volume is 266 Å³ per cell. As for the space-group type: R-3m. The calculation puts the total magnetization at 0.0 μB per cell.

Geometry as Quantum ESPRESSO input:
```
&SYSTEM
  ibrav = 0, nat = 8, ntyp = 3
/
ATOMIC_SPECIES
Rb 85.47 Rb.upf
Mg 24.30 Mg.upf
Tl 204.38 Tl.upf
ATOMIC_POSITIONS angstrom
Rb 0.0000 0.0000 0.0000
Mg 0.0000 0.0000 15.7379
Tl 0.0000 0.0000 4.2473
Tl 0.0000 0.0000 7.6594
Tl 0.0000 0.0000 12.6480
Tl 0.0000 0.0000 18.8278
Tl 0.0000 0.0000 23.8164
Tl 0.0000 0.0000 27.2285
CELL_PARAMETERS angstrom
2.7029 1.5605 10.4919
-2.7029 1.5605 10.4919
0.0000 -3.1210 10.4919
```

***

Q.
A plane-wave DFT calculation with GGA-PBE was carried out for an optimized crystal structure of RbMgTl6. Values from VASP.

Output
The value obtained for the calculated volume is 276 Å³ per cell. As for the space-group type: P4/mmm. The calculation puts the total magnetization at 0.0 μB per cell.

Geometry as Quantum ESPRESSO input:
```
&SYSTEM
  ibrav = 0, nat = 8, ntyp = 3
/
ATOMIC_SPECIES
Rb 85.47 Rb.upf
Mg 24.30 Mg.upf
Tl 204.38 Tl.upf
ATOMIC_POSITIONS angstrom
Rb 0.0000 0.0000 0.0000
Mg 0.0000 0.0000 4.7916
Tl 0.0000 2.6827 3.1741
Tl 0.0000 2.6827 6.4092
Tl 2.6827 0.0000 3.1741
Tl 2.6827 0.0000 6.4092
Tl 2.6827 2.6827 1.5300
Tl 2.6827 2.6827 8.0533
CELL_PARAMETERS angstrom
5.3653 0.0000 0.0000
0.0000 5.3653 0.0000
0.0000 0.0000 9.5833
```

***

Relative stability in meV/atom, measured from the most stable structure: P 0; Q 23

***

P.
A plane-wave DFT calculation with GGA-PBE was carried out for an optimized crystal structure of RbMg3Tl. Values from VASP.

Output
The value obtained for the calculated volume is 274 Å³ per cell. As for the space-group type: Pm-3m. The calculation puts the total magnetization at 0.0 μB per cell.

Geometry as Quantum ESPRESSO input:
```
&SYSTEM
  ibrav = 0, nat = 5, ntyp = 3
/
ATOMIC_SPECIES
Rb 85.47 Rb.upf
Mg 24.30 Mg.upf
Tl 204.38 Tl.upf
ATOMIC_POSITIONS angstrom
Rb 0.0000 0.0000 0.0000
Mg 0.0000 0.0000 3.2457
Mg 0.0000 3.2457 0.0000
Mg 3.2457 0.0000 0.0000
Tl 3.2457 3.2457 3.2457
CELL_PARAMETERS angstrom
6.4915 0.0000 0.0000
0.0000 6.4915 0.0000
0.0000 0.0000 6.4915
```

***

Q.
A plane-wave DFT calculation with GGA-PBE was carried out for an optimized crystal structure of RbMg3Tl. Values from VASP.

Output
The value obtained for the calculated volume is 185 Å³ per cell. As for the space-group type: Pm-3m. The calculation puts the total magnetization at 0.0 μB per cell.

Geometry as Quantum ESPRESSO input:
```
&SYSTEM
  ibrav = 0, nat = 5, ntyp = 3
/
ATOMIC_SPECIES
Rb 85.47 Rb.upf
Mg 24.30 Mg.upf
Tl 204.38 Tl.upf
ATOMIC_POSITIONS angstrom
Rb 0.0000 0.0000 0.0000
Mg 0.0000 2.8485 2.8485
Mg 2.8485 0.0000 2.8485
Mg 2.8485 2.8485 0.0000
Tl 2.8485 2.8485 2.8485
CELL_PARAMETERS angstrom
5.6969 0.0000 0.0000
0.0000 5.6969 0.0000
0.0000 0.0000 5.6969
```

***

Relative stability in meV/atom, measured from the most stable structure: P 734; Q 0

***

P.
A plane-wave DFT calculation with GGA-PBE was carried out for an optimized crystal structure of RbMgTl. Values from VASP.

Output
The value obtained for the calculated volume is 262 Å³ per cell. As for the space-group type: P1. The calculation puts the total magnetization at 0.0 μB per cell.

Geometry as Quantum ESPRESSO input:
```
&SYSTEM
  ibrav = 0, nat = 6, ntyp = 3
/
ATOMIC_SPECIES
Rb 85.47 Rb.upf
Mg 24.30 Mg.upf
Tl 204.38 Tl.upf
ATOMIC_POSITIONS angstrom
Rb 0.0000 0.0000 0.0000
Rb 3.5232 2.0729 4.4465
Mg 1.0569 0.6398 7.7945
Mg 3.5437 2.0870 8.8577
Tl 6.0258 3.5249 9.9598
Tl 6.0140 3.5160 6.7057
CELL_PARAMETERS angstrom
4.9739 0.0000 0.0000
2.4715 4.3173 0.0000
1.0621 0.6438 12.2221
```

***

Q.
A plane-wave DFT calculation with GGA-PBE was carried out for an optimized crystal structure of RbMgTl. Values from VASP.

Output
The value obtained for the calculated volume is 108 Å³ per cell. As for the space-group type: P-6m2. The calculation puts the total magnetization at 0.0 μB per cell.

Geometry as Quantum ESPRESSO input:
```
&SYSTEM
  ibrav = 0, nat = 3, ntyp = 3
/
ATOMIC_SPECIES
Rb 85.47 Rb.upf
Mg 24.30 Mg.upf
Tl 204.38 Tl.upf
ATOMIC_POSITIONS angstrom
Rb 0.0000 0.0000 0.0000
Mg 2.8474 1.6440 1.9178
Tl 0.0000 3.2879 1.9178
CELL_PARAMETERS angstrom
5.6949 0.0000 0.0000
-2.8474 4.9319 0.0000
0.0000 0.0000 3.8355
```

***

Relative stability in meV/atom, measured from the most stable structure: P 0; Q 138

***

P.
A plane-wave DFT calculation with GGA-PBE was carried out for an optimized crystal structure of RbMg2Tl6. Values from VASP.

Output
The value obtained for the calculated volume is 274 Å³ per cell. As for the space-group type: Immm. The calculation puts the total magnetization at 0.0 μB per cell.

Geometry as Quantum ESPRESSO input:
```
&SYSTEM
  ibrav = 0, nat = 9, ntyp = 3
/
ATOMIC_SPECIES
Rb 85.47 Rb.upf
Mg 24.30 Mg.upf
Tl 204.38 Tl.upf
ATOMIC_POSITIONS angstrom
Rb 0.0000 0.0000 0.0000
Mg 1.7370 0.0000 5.7964
Mg 0.0000 4.6892 2.6118
Tl 1.7370 1.7433 -2.9519
Tl 1.7370 3.1905 0.0000
Tl 1.7370 1.7433 2.9519
Tl 0.0000 2.9458 5.4563
Tl 0.0000 1.4987 8.4082
Tl 0.0000 2.9458 11.3600
CELL_PARAMETERS angstrom
-1.7370 4.6892 8.4082
1.7370 -4.6892 8.4082
1.7370 4.6892 -8.4082
```

***

Q.
A plane-wave DFT calculation with GGA-PBE was carried out for an optimized crystal structure of RbMg2Tl6. Values from VASP.

Output
The value obtained for the calculated volume is 679 Å³ per cell. As for the space-group type: Fd-3m. The calculation puts the total magnetization at 0.0 μB per cell.

Geometry as Quantum ESPRESSO input:
```
&SYSTEM
  ibrav = 0, nat = 18, ntyp = 3
/
ATOMIC_SPECIES
Rb 85.47 Rb.upf
Mg 24.30 Mg.upf
Tl 204.38 Tl.upf
ATOMIC_POSITIONS angstrom
Rb 1.7443 1.7443 1.7443
Rb 12.2101 12.2101 12.2101
Mg 6.9772 3.4886 3.4886
Mg 3.4886 6.9772 3.4886
Mg 3.4886 3.4886 6.9772
Mg 6.9772 6.9772 6.9772
Tl 5.2329 5.2329 1.8456
Tl 5.2329 1.8456 5.2329
Tl 8.6201 5.2329 5.2329
Tl 8.7215 8.7215 5.3342
Tl 8.7215 5.3342 8.7215
Tl 12.1087 8.7215 8.7215
Tl 1.8456 5.2329 5.2329
Tl 5.2329 8.6201 5.2329
Tl 5.2329 5.2329 8.6201
Tl 5.3342 8.7215 8.7215
Tl 8.7215 12.1087 8.7215
Tl 8.7215 8.7215 12.1087
CELL_PARAMETERS angstrom
0.0000 6.9772 6.9772
6.9772 0.0000 6.9772
6.9772 6.9772 0.0000
```

***

Relative stability in meV/atom, measured from the most stable structure: P 0; Q 166

***

P.
A plane-wave DFT calculation with GGA-PBE was carried out for an optimized crystal structure of RbMgV. Values from VASP.

Output
The value obtained for the calculated volume is 238 Å³ per cell. As for the space-group type: P1. The calculation puts the total magnetization at 0.0 μB per cell.

Geometry as Quantum ESPRESSO input:
```
&SYSTEM
  ibrav = 0, nat = 6, ntyp = 3
/
ATOMIC_SPECIES
Rb 85.47 Rb.upf
Mg 24.30 Mg.upf
V 50.94 V.upf
ATOMIC_POSITIONS angstrom
Rb 0.0000 0.0000 0.0000
Rb 1.2043 0.2564 7.9563
Mg 0.3532 3.5263 3.2093
Mg 2.3176 2.7083 5.4100
V -0.3519 0.7804 3.7286
V 2.4320 1.6453 2.9068
CELL_PARAMETERS angstrom
4.2076 0.0000 0.0000
-1.3848 4.6167 0.0000
-0.2443 -2.0966 12.2577
```

***

Q.
A plane-wave DFT calculation with GGA-PBE was carried out for an optimized crystal structure of RbMgV. Values from VASP.

Output
The value obtained for the calculated volume is 206 Å³ per cell. As for the space-group type: P-1. The calculation puts the total magnetization at 0.0 μB per cell.

Geometry as Quantum ESPRESSO input:
```
&SYSTEM
  ibrav = 0, nat = 6, ntyp = 3
/
ATOMIC_SPECIES
Rb 85.47 Rb.upf
Mg 24.30 Mg.upf
V 50.94 V.upf
ATOMIC_POSITIONS angstrom
Rb 0.0066 0.8348 4.4886
Rb 1.9017 2.9358 8.9099
Mg 0.0774 0.9310 11.8673
Mg 1.8309 2.8397 1.5313
V 0.0043 0.7240 0.6045
V 1.9040 3.0467 12.7940
CELL_PARAMETERS angstrom
3.6616 0.0000 0.0000
-0.0011 4.2066 0.0000
-1.7521 -0.4359 13.3985
```

***

Relative stability in meV/atom, measured from the most stable structure: P 110; Q 0

***

P.
A plane-wave DFT calculation with GGA-PBE was carried out for an optimized crystal structure of RbMgV3. Values from VASP.

Output
The value obtained for the calculated volume is 151 Å³ per cell. As for the space-group type: Pm-3m. The calculation puts the total magnetization at 11.9 μB per cell.

Geometry as Quantum ESPRESSO input:
```
&SYSTEM
  ibrav = 0, nat = 5, ntyp = 3
/
ATOMIC_SPECIES
Rb 85.47 Rb.upf
Mg 24.30 Mg.upf
V 50.94 V.upf
ATOMIC_POSITIONS angstrom
Rb 0.0000 0.0000 0.0000
Mg 2.6612 2.6612 2.6612
V 0.0000 2.6612 2.6612
V 2.6612 0.0000 2.6612
V 2.6612 2.6612 0.0000
CELL_PARAMETERS angstrom
5.3224 0.0000 0.0000
0.0000 5.3224 0.0000
0.0000 0.0000 5.3224
```

***

Q.
A plane-wave DFT calculation with GGA-PBE was carried out for an optimized crystal structure of RbMgV3. Values from VASP.

Output
The value obtained for the calculated volume is 94 Å³ per cell. As for the space-group type: Pm-3m. The calculation puts the total magnetization at 0.0 μB per cell.

Geometry as Quantum ESPRESSO input:
```
&SYSTEM
  ibrav = 0, nat = 5, ntyp = 3
/
ATOMIC_SPECIES
Rb 85.47 Rb.upf
Mg 24.30 Mg.upf
V 50.94 V.upf
ATOMIC_POSITIONS angstrom
Rb 0.0000 0.0000 0.0000
Mg 2.2741 2.2741 2.2741
V 0.0000 0.0000 2.2741
V 0.0000 2.2741 0.0000
V 2.2741 0.0000 0.0000
CELL_PARAMETERS angstrom
4.5482 0.0000 0.0000
0.0000 4.5482 0.0000
0.0000 0.0000 4.5482
```

***

Relative stability in meV/atom, measured from the most stable structure: P 0; Q 631